Nb2Pt2Rh3: relaxed, PBE.

a = 6.7195 Å, b = 6.7195 Å, c = 6.7195 Å
α = 109.47°, β = 109.47°, γ = 109.47°
With the nearest neighbours (Å) after each atom.
Fractional positions:
Nb1 0.0000 0.0505 0.5000  1 Pt 2.52, 6 Rh 2.60-2.68
Nb2 0.0505 0.5000 0.0000  1 Pt 2.52, 6 Rh 2.60-2.68
Nb3 0.4495 0.4495 0.4495  1 Pt 2.52, 6 Rh 2.60-2.68
Nb4 0.5000 0.0000 0.0505  1 Pt 2.52, 6 Rh 2.60-2.68
Pt1 0.0000 0.6752 0.5000  1 Nb 2.52, 3 Rh 2.74
Pt2 0.5000 0.0000 0.6752  1 Nb 2.52, 3 Rh 2.74
Pt3 0.6752 0.5000 0.0000  1 Nb 2.52, 3 Rh 2.74
Pt4 0.8248 0.8248 0.8248  1 Nb 2.52, 3 Rh 2.74
Rh1 0.2141 0.9641 0.2500  4 Nb 2.60-2.68, 2 Pt 2.74
Rh2 0.2500 0.2141 0.9641  4 Nb 2.60-2.68, 2 Pt 2.74
Rh3 0.2859 0.5359 0.7500  4 Nb 2.60-2.68, 2 Pt 2.74
Rh4 0.5359 0.7500 0.2859  4 Nb 2.60-2.68, 2 Pt 2.74
Rh5 0.7500 0.2859 0.5359  4 Nb 2.60-2.68, 2 Pt 2.74
Rh6 0.9641 0.2500 0.2141  4 Nb 2.60-2.68, 2 Pt 2.74

SG: I2_13, No. 199
Polymorph energy (0 for the lowest one): 0.071 eV per atom
N(E_F): 0.602 states/eV/atom
ΔE_f: -0.871 eV per formula unit
E_tot: -110.29 eV for the cell shown